Density functional theory data (PBE) for a relaxed structure of CsSrBe2Cl8.

The total magnetization comes out at 1.00 Bohr magnetons per cell. The energy relative to the elements, uncorrected is -1.635 eV/atom. Its space group is No. 12.

a = 6.5862 Å, b = 6.5862 Å, c = 10.2467 Å
α = 114.32°, β = 114.32°, γ = 66.85°
Positions (direct):
1 Cs 0.0000 0.0000 0.0000
2 Sr 0.0000 0.0000 0.5000
3 Be 0.4568 0.4568 0.7104
4 Be 0.5432 0.5432 0.2896
5 Cl 0.1972 0.6539 0.2566
6 Cl 0.2760 0.2760 0.5154
7 Cl 0.3461 0.8028 0.7434
8 Cl 0.3855 0.3855 0.8639
9 Cl 0.6145 0.6145 0.1361
10 Cl 0.6539 0.1972 0.2566
11 Cl 0.7240 0.7240 0.4846
12 Cl 0.8028 0.3461 0.7434

Density functional theory data (PBE) for a relaxed structure of Ce2DyZn.

The total magnetization comes out at 2.40 Bohr magnetons per cell. The relative energy among the computed polymorphs is 0.55 eV/f.u. The density of states at the Fermi level comes out at 2.943 states/eV per atom. Its space group is No. 225. The value obtained for the formation energy is 0.124 eV per atom.

a = 5.3330 Å, b = 5.3330 Å, c = 5.3330 Å
α = 60.00°, β = 60.00°, γ = 60.00°
Positions (direct):
1 Ce 0.2500 0.2500 0.2500
2 Ce 0.7500 0.7500 0.7500
3 Dy 0.0000 0.0000 0.0000
4 Zn 0.5000 0.5000 0.5000

Density functional theory data (PBE) for a relaxed structure of MgNi6W.

The total magnetization comes out at 0.00 Bohr magnetons per cell. The density of states at the Fermi level comes out at 0.195 states/eV per atom. Its space group is No. 65. The value obtained for the formation energy is -0.141 eV per atom.

a = 6.2931 Å, b = 6.2931 Å, c = 10.3017 Å
α = 90.00°, β = 90.00°, γ = 109.44°
Positions (direct):
1 Mg 0.0000 0.0000 0.2480
2 Mg 0.0000 0.0000 0.7520
3 Mg 0.2490 0.7510 0.0000
4 Mg 0.7510 0.2490 0.0000
5 Ni 0.0000 0.0000 0.0000
6 Ni 0.0000 0.0000 0.5000
7 Ni 0.1279 0.3800 0.3784
8 Ni 0.1279 0.3800 0.6216
9 Ni 0.1315 0.3787 0.1285
10 Ni 0.1315 0.3787 0.8715
11 Ni 0.2524 0.7476 0.2563
12 Ni 0.2524 0.7476 0.7437
13 Ni 0.3787 0.1315 0.1285
14 Ni 0.3787 0.1315 0.8715
15 Ni 0.3800 0.1279 0.3784
16 Ni 0.3800 0.1279 0.6216
17 Ni 0.5000 0.5000 0.0000
18 Ni 0.5000 0.5000 0.5000
19 Ni 0.6200 0.8721 0.3784
20 Ni 0.6200 0.8721 0.6216
21 Ni 0.6213 0.8685 0.1285
22 Ni 0.6213 0.8685 0.8715
23 Ni 0.7476 0.2524 0.2563
24 Ni 0.7476 0.2524 0.7437
25 Ni 0.8685 0.6213 0.1285
26 Ni 0.8685 0.6213 0.8715
27 Ni 0.8721 0.6200 0.3784
28 Ni 0.8721 0.6200 0.6216
29 W 0.2497 0.7503 0.5000
30 W 0.5000 0.5000 0.2413
31 W 0.5000 0.5000 0.7587
32 W 0.7503 0.2497 0.5000